The following is a DFT calculation (PBE-GGA) of MgOsRu2 after structural relaxation.

Cell lengths 5.170, 5.170, 5.170 Å; angles 146.88, 129.02, 62.15 degrees
Atoms (fractional coordinates):
Mg 0.501 0.501 0.000
Os 0.247 0.747 0.500
Ru 0.002 0.002 0.000
Ru 0.750 0.250 0.500

Properties
- SG = Imm2
- energy of formation from the pure elements (kcal/mol of atoms) = 5.35

=====

The following is a DFT calculation (PBE-GGA) of MgOsRu2 after structural relaxation.

Cell lengths 4.360, 4.360, 4.360 Å; angles 60.00, 60.00, 60.00 degrees
Atoms (fractional coordinates):
Mg 0.500 0.500 0.500
Os 0.750 0.750 0.750
Ru 0.000 0.000 0.000
Ru 0.250 0.250 0.250

Properties
- SG = F-43m
- energy of formation from the pure elements (kcal/mol of atoms) = 8.15